# LiIr2Os PBE relaxed
data_LiIr2Os
_chemical_formula_sum 'Li2 Ir4 Os2'
_cell_length_a 3.8477
_cell_length_b 3.8477
_cell_length_c 7.4211
_cell_angle_alpha 90.00
_cell_angle_beta 90.00
_cell_angle_gamma 90.00
_symmetry_space_group_name_H-M 'I 4/m m m'
_symmetry_Int_Tables_number 139
_symmetry_space_group_name_Hall '-I 4 2'
loop_
_atom_site_label
_atom_site_fract_x
_atom_site_fract_y
_atom_site_fract_z
Li1 0.0000 0.0000 0.0000
Ir1 0.0000 0.5000 0.2500
Os1 0.0000 0.0000 0.5000
# **E above lowest polymorph**: 91 meV per atom
# **Volume**: 13.73 Å³/atom
# **M_tot**: 1.0 μB/cell
# **Formation energy from the elements**: 0.0670 eV/atom

=====

# LiIrOs2 PBE relaxed
data_LiIrOs2
_chemical_formula_sum 'Li2 Ir2 Os4'
_cell_length_a 3.7003
_cell_length_b 3.7003
_cell_length_c 7.9855
_cell_angle_alpha 90.00
_cell_angle_beta 90.00
_cell_angle_gamma 90.00
_symmetry_space_group_name_H-M 'I 4/m m m'
_symmetry_Int_Tables_number 139
_symmetry_space_group_name_Hall '-I 4 2'
loop_
_atom_site_label
_atom_site_fract_x
_atom_site_fract_y
_atom_site_fract_z
Li1 0.0000 0.0000 0.0000
Ir1 0.0000 0.0000 0.5000
Os1 0.0000 0.5000 0.2500
# **E above lowest polymorph**: 103 meV per atom
# **Volume**: 13.67 Å³/atom
# **M_tot**: 0.0 μB/cell
# **Formation energy from the elements**: 0.2172 eV/atom